VASP calculation (PBE-GGA) on an optimized crystal structure of Co2HgGe2.

Output
As for the energy of formation: 1.9 kcal/mol of atoms.

Cell: 7.0083 7.0083 2.9536 Å, 90.00 90.00 90.00°
Closest atoms and distances in Å follow each position.
Atoms (fractional coordinates):
Co: 0.1430 0.3570 0.0000  6 Ge 2.51-2.55, 2 Hg 2.70
Co: 0.3570 0.8570 0.0000  6 Ge 2.51-2.55, 2 Hg 2.70
Co: 0.6430 0.1430 0.0000  6 Ge 2.51-2.55, 2 Hg 2.70
Co: 0.8570 0.6430 0.0000  6 Ge 2.51-2.55, 2 Hg 2.70
Hg: 0.0000 0.0000 0.0000  4 Co 2.70, 2 Hg 2.95
Hg: 0.5000 0.5000 0.0000  4 Co 2.70, 2 Hg 2.95
Ge: 0.1471 0.6471 0.5000  6 Co 2.51-2.55
Ge: 0.3529 0.1471 0.5000  6 Co 2.51-2.55
Ge: 0.6471 0.8529 0.5000  6 Co 2.51-2.55
Ge: 0.8529 0.3529 0.5000  6 Co 2.51-2.55


VASP calculation (PBE-GGA) on an optimized crystal structure of Ba2PtF.

Output
The calculation puts the uncorrected formation energy at -1.628 eV/atom.

Cell: 8.2339 8.2339 8.2339 Å, 133.24 133.24 68.27°
Closest atoms and distances in Å follow each position.
Atoms (fractional coordinates):
Ba: 0.0841 0.6250 0.9591  2 F 2.73, 2 Pt 3.03
Ba: 0.3750 0.3341 0.4591  2 F 2.73, 2 Pt 3.03
Ba: 0.6659 0.1250 0.0409  2 F 2.73, 2 Pt 3.03
Ba: 0.8750 0.9159 0.5409  2 F 2.73, 2 Pt 3.03
Pt: 0.2500 0.7500 0.5000  4 Ba 3.03
Pt: 0.5000 0.5000 0.0000  4 Ba 3.03
F: 0.0000 0.0000 0.0000  4 Ba 2.73
F: 0.7500 0.2500 0.5000  4 Ba 2.73


VASP calculation (PBE-GGA) on an optimized crystal structure of Mn2BeHgSe.

Output
The calculation puts the uncorrected formation energy at 2.300 eV/atom.

Cell: 4.8855 4.8855 5.1440 Å, 90.00 90.00 90.00°
Closest atoms and distances in Å follow each position.
Atoms (fractional coordinates):
Mn: 0.0000 0.5000 0.0000  2 Hg 2.44
Mn: 0.5000 0.0000 0.0000  2 Hg 2.44
Be: 0.0000 0.0000 0.5000  4 Se 3.45, 8 Mn 3.55
Hg: 0.5000 0.5000 0.0000  4 Mn 2.44, 2 Se 2.57
Se: 0.5000 0.5000 0.5000  2 Hg 2.57


VASP calculation (PBE-GGA) on an optimized crystal structure of Ac6InGe3.

Output
As for the energy of formation: -9.5 kcal/mol of atoms.

Cell: 7.8712 8.7607 13.1212 Å, 90.00 123.82 90.00°
Closest atoms and distances in Å follow each position.
Atoms (fractional coordinates):
Ac: 0.0488 0.0894 0.2442  3 Ge 3.11-3.29, 1 In 3.35
Ac: 0.0488 0.4106 0.7442  3 Ge 3.11-3.29, 1 In 3.35
Ac: 0.2320 0.6874 0.0797  3 Ge 3.13-3.49, 1 In 3.27
Ac: 0.2320 0.8126 0.5797  3 Ge 3.13-3.49, 1 In 3.27
Ac: 0.3964 0.1664 0.0717  2 Ge 3.08-3.26, 1 In 3.31
Ac: 0.3964 0.3336 0.5717  2 Ge 3.08-3.26, 1 In 3.31
Ac: 0.6036 0.6664 0.4283  2 Ge 3.08-3.26, 1 In 3.31
Ac: 0.6036 0.8336 0.9283  2 Ge 3.08-3.26, 1 In 3.31
Ac: 0.7680 0.1874 0.4203  3 Ge 3.13-3.49, 1 In 3.27
Ac: 0.7680 0.3126 0.9203  3 Ge 3.13-3.49, 1 In 3.27
Ac: 0.9512 0.5894 0.2558  3 Ge 3.11-3.29, 1 In 3.35
Ac: 0.9512 0.9106 0.7558  3 Ge 3.11-3.29, 1 In 3.35
In: 0.5000 0.0000 0.5000  6 Ac 3.27-3.35
In: 0.5000 0.5000 0.0000  6 Ac 3.27-3.35
Ge: 0.0000 0.0000 0.0000  6 Ac 3.08-3.13
Ge: 0.0000 0.5000 0.5000  6 Ac 3.08-3.13
Ge: 0.3066 0.1125 0.7583  6 Ac 3.25-3.49
Ge: 0.3066 0.3875 0.2583  6 Ac 3.25-3.49
Ge: 0.6934 0.6125 0.7417  6 Ac 3.25-3.49
Ge: 0.6934 0.8875 0.2417  6 Ac 3.25-3.49


VASP calculation (PBE-GGA) on an optimized crystal structure of TlCoRuBr6.

Output
The calculation puts the uncorrected formation energy at -0.354 eV/atom.

Cell: 6.4878 6.4878 7.4385 Å, 90.00 90.00 120.00°
Closest atoms and distances in Å follow each position.
Atoms (fractional coordinates):
Tl: 0.0000 0.0000 0.0000  6 Br 3.32
Co: 0.3333 0.6667 0.5000  6 Br 2.45
Ru: 0.6667 0.3333 0.5000  6 Br 2.52
Br: 0.0082 0.3672 0.6851  1 Co 2.45, 1 Ru 2.52
Br: 0.0082 0.6410 0.3149  1 Co 2.45, 1 Ru 2.52
Br: 0.3590 0.3672 0.3149  1 Co 2.45, 1 Ru 2.52
Br: 0.3590 0.9918 0.6851  1 Co 2.45, 1 Ru 2.52
Br: 0.6328 0.6410 0.6851  1 Co 2.45, 1 Ru 2.52
Br: 0.6328 0.9918 0.3149  1 Co 2.45, 1 Ru 2.52


VASP calculation (PBE-GGA) on an optimized crystal structure of K2LiSb2Pb.

Output
The calculation puts the uncorrected formation energy at -0.414 eV/atom.

Cell: 9.6704 9.6704 9.6704 Å, 137.61 62.38 136.47°
Closest atoms and distances in Å follow each position.
Atoms (fractional coordinates):
K: 0.1726 0.2475 0.4201  5 Sb 3.60-3.76, 2 Pb 3.79, 2 Li 3.81
K: 0.3274 0.7475 0.0749  5 Sb 3.60-3.76, 2 Pb 3.79, 2 Li 3.81
K: 0.6726 0.2525 0.9251  5 Sb 3.60-3.76, 2 Pb 3.79, 2 Li 3.81
K: 0.8274 0.7525 0.5799  5 Sb 3.60-3.76, 2 Pb 3.79, 2 Li 3.81
Li: 0.2500 0.7500 0.5000  4 Sb 2.99
Li: 0.7500 0.2500 0.5000  4 Sb 2.99
Sb: 0.1045 0.7359 0.8404  2 Li 2.99, 2 Pb 3.10
Sb: 0.3955 0.2359 0.6315  2 Li 2.99, 2 Pb 3.10
Sb: 0.6045 0.7641 0.3685  2 Li 2.99, 2 Pb 3.10
Sb: 0.8955 0.2641 0.1596  2 Li 2.99, 2 Pb 3.10
Pb: 0.2500 0.2500 0.0000  4 Sb 3.10
Pb: 0.7500 0.7500 0.0000  4 Sb 3.10


VASP calculation (PBE-GGA) on an optimized crystal structure of KRe.

Output
As for the energy of formation: 39.0 kcal/mol of atoms.

Cell: 5.9854 5.9854 4.5847 Å, 90.00 90.00 120.00°
Closest atoms and distances in Å follow each position.
Atoms (fractional coordinates):
K: 0.3333 0.6667 0.2500  6 Re 3.64
K: 0.6667 0.3333 0.7500  6 Re 3.64
Re: 0.0000 0.0000 0.0000  2 Re 2.29
Re: 0.0000 0.0000 0.5000  2 Re 2.29


VASP calculation (PBE-GGA) on an optimized crystal structure of LiY2CdS4.

Output
The calculation puts the uncorrected formation energy at -1.510 eV/atom.

Cell: 6.7203 3.8947 6.9496 Å, 90.00 108.47 90.00°
Closest atoms and distances in Å follow each position.
Atoms (fractional coordinates):
Li: 0.0000 0.0000 0.0000  6 S 2.79-2.81
Y: 0.0000 0.5000 0.5000  6 S 2.76-2.77
Y: 0.5000 0.0000 0.5000  6 S 2.76-2.77
Cd: 0.5000 0.5000 0.0000  6 S 2.78-2.82
S: 0.2460 0.0000 0.7435  3 Y 2.76, 1 Li 2.79, 2 Cd 2.82
S: 0.2534 0.5000 0.2545  3 Y 2.77, 1 Cd 2.78, 2 Li 2.81
S: 0.7466 0.5000 0.7455  3 Y 2.77, 1 Cd 2.78, 2 Li 2.81
S: 0.7540 0.0000 0.2565  3 Y 2.76, 1 Li 2.79, 2 Cd 2.82


VASP calculation (PBE-GGA) on an optimized crystal structure of Sr3LaS4.

Output
The calculation puts the uncorrected formation energy at -2.113 eV/atom.

Cell: 5.9940 5.9940 5.9940 Å, 90.00 90.00 90.00°
Closest atoms and distances in Å follow each position.
Atoms (fractional coordinates):
Sr: 0.0000 0.0000 0.5000  6 S 3.00
Sr: 0.0000 0.5000 0.0000  6 S 3.00
Sr: 0.5000 0.0000 0.0000  6 S 3.00
La: 0.5000 0.5000 0.5000  6 S 3.00
S: 0.0000 0.0000 0.0000  6 Sr 3.00
S: 0.0000 0.5000 0.5000  2 La 3.00, 4 Sr 3.00
S: 0.5000 0.0000 0.5000  2 La 3.00, 4 Sr 3.00
S: 0.5000 0.5000 0.0000  2 La 3.00, 4 Sr 3.00


VASP calculation (PBE-GGA) on an optimized crystal structure of Ta3H2Ru.

Output
The value obtained for the energy is -102.9 eV for the cell shown.

Cell: 7.4039 7.4039 6.6191 Å, 104.54 104.54 25.55°
Closest atoms and distances in Å follow each position.
Atoms (fractional coordinates):
Ta: 0.0359 0.0359 0.2638  3 H 1.97
Ta: 0.2855 0.2855 0.6924  1 H 2.01
Ta: 0.3880 0.3880 0.3361  3 H 1.97-2.19
Ta: 0.6120 0.6120 0.6639  3 H 1.97-2.19
Ta: 0.7145 0.7145 0.3076  1 H 2.01
Ta: 0.9641 0.9641 0.7362  3 H 1.97
H: 0.1557 0.1557 0.4895  4 Ta 1.97-2.19
H: 0.4694 0.4694 0.1390  3 Ta 1.97
H: 0.5306 0.5306 0.8610  3 Ta 1.97
H: 0.8443 0.8443 0.5105  4 Ta 1.97-2.19
Ru: 0.1705 0.1705 0.0010  4 Ta 2.56-2.72, 2 H 2.58, 2 Ru 2.82
Ru: 0.8295 0.8295 0.9990  4 Ta 2.56-2.72, 2 H 2.58, 2 Ru 2.82


VASP calculation (PBE-GGA) on an optimized crystal structure of NdDyCo.

Output
As for the energy of formation: -0.6 kcal/mol of atoms.

Cell: 6.7055 6.7556 8.0747 Å, 90.00 122.51 90.00°
Closest atoms and distances in Å follow each position.
Atoms (fractional coordinates):
Nd: 0.1932 0.1576 0.4177  3 Co 2.86-2.90
Nd: 0.1932 0.3424 0.9177  3 Co 2.86-2.90
Nd: 0.8068 0.6576 0.0823  3 Co 2.86-2.90
Nd: 0.8068 0.8424 0.5823  3 Co 2.86-2.90
Dy: 0.3084 0.6592 0.5968  3 Co 2.64-2.68
Dy: 0.3084 0.8408 0.0968  3 Co 2.64-2.68
Dy: 0.6916 0.1592 0.9032  3 Co 2.64-2.68
Dy: 0.6916 0.3408 0.4032  3 Co 2.64-2.68
Co: 0.2846 0.5197 0.2797  3 Dy 2.64-2.68, 3 Nd 2.86-2.90
Co: 0.2846 0.9803 0.7797  3 Dy 2.64-2.68, 3 Nd 2.86-2.90
Co: 0.7154 0.0197 0.2203  3 Dy 2.64-2.68, 3 Nd 2.86-2.90
Co: 0.7154 0.4803 0.7203  3 Dy 2.64-2.68, 3 Nd 2.86-2.90


VASP calculation (PBE-GGA) on an optimized crystal structure of ReAsAu2.

Output
As for the energy of formation: 7.3 kcal/mol of atoms.

Cell: 3.0703 3.0703 7.2966 Å, 90.00 90.00 90.00°
Closest atoms and distances in Å follow each position.
Atoms (fractional coordinates):
Re: 0.0000 0.0000 0.0000  4 As 2.57, 4 Au 2.87
As: 0.5000 0.5000 0.1879  4 Re 2.57
Au: 0.0000 0.0000 0.4769  8 Au 2.91-3.07, 4 As 3.03
Au: 0.5000 0.5000 0.7418  4 Re 2.87, 8 Au 2.91-3.07